Entry 1:
Entry from the Alexandria database: crystalline Hf2Ag3F14 at its relaxed geometry (PBE).

For the total magnetization, the calculation gives 2.0 μB per cell. The calculation puts the density of states at the Fermi level at 0.114 states/eV/atom. Its formation energy without anion corrections is -58.6 kcal/mol of atoms.

The space group is C2/m (No. 12) and the conventional cell measures 9.478, 6.799 and 9.248 Å, with angles of 90.00, 91.37 and 90.00 degrees. The inequivalent atoms are Hf at (0.089, 0.000, 0.215), Ag at (0.000, 0.500, 0.000), Ag at (0.187, 0.500, 0.395), F at (0.000, 0.000, 0.000), F at (0.000, 0.500, 0.500), F at (0.060, 0.294, 0.163), F at (0.111, 0.000, 0.708), F at (0.169, 0.176, 0.385) and F at (0.229, 0.500, 0.878).

Entry 2:
Entry from the Alexandria database: crystalline AlSbAsSe2 at its relaxed geometry (PBE).

Its energy above the most stable polymorph in this dataset is 435 meV/atom. For the total magnetization, the calculation gives 0.0 μB per cell. The calculation puts the density of states at the Fermi level at 1.101 states/eV/atom. Its formation energy without anion corrections is 14.1 kcal/mol of atoms.

The space group is P4/mmm (No. 123) and the conventional cell measures 5.331, 5.331 and 5.290 Å, with angles of 90.00, 90.00 and 90.00 degrees. The inequivalent atoms are Al at (0.000, 0.000, 0.000), Sb at (0.500, 0.500, 0.500), As at (0.500, 0.500, 0.000) and Se at (0.000, 0.500, 0.500).

Entry 3:
Entry from the Alexandria database: crystalline LaTbSc2Hg4 at its relaxed geometry (PBE).

For the total magnetization, the calculation gives 2.7 μB per cell. For the formation energy, the calculation gives -0.425 eV per atom. The calculation puts the density of states at the Fermi level at 1.113 states/eV/atom.

The space group is R-3m (No. 166, hexagonal axes) and the conventional cell measures 5.1913, 5.1913 and 25.8587 Å, with angles of 90.00, 90.00 and 120.00 degrees. The inequivalent atoms are La at (0.0000, 0.0000, 0.0000), Tb at (0.0000, 0.0000, 0.5000), Sc at (0.0000, 0.0000, 0.2485), Hg at (0.0000, 0.0000, 0.1278) and Hg at (0.0000, 0.0000, 0.3803).

Q: The highest total magnetization belongs to which entry?
A: LaTbSc2Hg4